# 1
Density functional theory data (PBE-GGA) for an optimized crystal structure of ThZn4Au.

Total moment: 0.0 μB per formula unit
DFT formation energy: -0.28 eV per atom
N(E_F): 10.9 states/eV per cell

Lattice parameters (Å, degrees): 4.381 15.908 6.595 90.00 90.00 90.00
Space group Cmcm (No. 63)
Unique sites:
Th: 0.000 0.126 0.250
Zn: 0.000 0.065 0.750
Zn: 0.000 0.335 0.060
Zn: 0.000 0.500 0.000
Au: 0.000 0.229 0.750

=====

# 2
Density functional theory data (PBE-GGA) for an optimized crystal structure of Na2Mg3Tl4.

Total moment: 0.0 μB per formula unit
DFT formation energy: -0.05 eV per atom
N(E_F): 5.4 states/eV per cell

Lattice parameters (Å, degrees): 9.793 4.897 9.932 90.00 100.47 90.00
Space group C2/m (No. 12)
Unique sites:
Na: 0.186 0.000 0.223
Mg: 0.000 0.500 0.000
Mg: 0.154 0.000 0.565
Tl: 0.034 0.500 0.343
Tl: 0.155 0.000 0.891

=====

# 3
Density functional theory data (PBE-GGA) for an optimized crystal structure of TaSiNi.

Total moment: 0.0 μB per formula unit
N(E_F): 1.5 states/eV per cell
Formation energy from raw total energies: -0.53 eV per atom

Lattice parameters (Å, degrees): 3.9620 3.9620 3.0332 90.00 90.00 120.00
Space group P-6m2 (No. 187)
Unique sites:
Ta: 0.0000 0.0000 0.0000
Si: 0.3333 0.6667 0.5000
Ni: 0.6667 0.3333 0.5000

=====

# 4
Density functional theory data (PBE-GGA) for an optimized crystal structure of LuBiPtAu.

Total moment: 0.0 μB per formula unit
DFT formation energy: -0.63 eV per atom
N(E_F): 10.0 states/eV per cell

Lattice parameters (Å, degrees): 7.014 7.014 7.014 90.00 90.00 90.00
Space group F-43m (No. 216)
Unique sites:
Lu: 0.000 0.000 0.000
Bi: 0.000 0.000 0.500
Pt: 0.250 0.250 0.750
Au: 0.250 0.250 0.250

=====

# 5
Density functional theory data (PBE-GGA) for an optimized crystal structure of K2AlOs.

Total moment: 0.0 μB per formula unit
DFT formation energy: 0.39 eV per atom
N(E_F): 2.0 states/eV per cell

Lattice parameters (Å, degrees): 3.045 3.972 10.160 90.00 95.17 90.00
Space group Pm (No. 6)
Unique sites:
K: 0.000 0.000 0.000
K: 0.330 0.500 0.422
Al: 0.915 0.500 0.722
Os: 0.407 0.000 0.696

=====

# 6
Density functional theory data (PBE-GGA) for an optimized crystal structure of Cs9K3Hg2.

Total moment: 0.0 μB per formula unit
DFT formation energy: -0.06 eV per atom
N(E_F): 27.2 states/eV per cell

Lattice parameters (Å, degrees): 10.6713 10.6713 25.0930 90.00 90.00 120.00
Space group P6_3/mmc (No. 194)
Unique sites:
Cs: 0.0353 0.5177 0.2500
Cs: 0.1687 0.3374 0.5876
K: 0.0000 0.0000 0.2500
K: 0.3333 0.6667 0.0777
Hg: 0.3333 0.6667 0.6877

=====

# 7
Density functional theory data (PBE-GGA) for an optimized crystal structure of KPuCl2F6.

Total moment: 3.6 μB per formula unit
N(E_F): 13.3 states/eV per cell
Formation energy from raw total energies: -2.28 eV per atom

Lattice parameters (Å, degrees): 5.6563 5.6563 8.1786 90.00 90.00 120.00
Space group P-3m1 (No. 164)
Unique sites:
K: 0.0000 0.0000 0.0000
Pu: 0.0000 0.0000 0.5000
Cl: 0.3333 0.6667 0.0209
F: 0.1637 0.3273 0.6505

=====

# 8
Density functional theory data (PBE-GGA) for an optimized crystal structure of Tb3Pr7Tm2.

Total moment: 0.0 μB per formula unit
DFT formation energy: 0.27 eV per atom
N(E_F): 17.8 states/eV per cell

Lattice parameters (Å, degrees): 6.367 5.594 12.260 90.00 90.41 90.00
Space group P2/m (No. 10)
Unique sites:
Tb: 0.000 0.000 0.000
Tb: 0.428 0.500 0.343
Pr: 0.059 0.500 0.812
Pr: 0.252 0.000 0.546
Pr: 0.406 0.000 0.828
Pr: 0.500 0.500 0.000
Tm: 0.125 0.000 0.275

=====

# 9
Density functional theory data (PBE-GGA) for an optimized crystal structure of NiBC3.

Total moment: 0.0 μB per formula unit
DFT formation energy: 0.28 eV per atom
N(E_F): 1.4 states/eV per cell

Lattice parameters (Å, degrees): 2.610 3.812 4.545 103.38 90.52 98.94
Space group P1 (No. 1)
Unique sites:
Ni: 0.000 0.000 0.000
B: 0.360 0.473 0.683
C: 0.354 0.476 0.340
C: 0.861 0.465 0.854
C: 0.863 0.505 0.188

=====

# 10
Density functional theory data (PBE-GGA) for an optimized crystal structure of HoSc2Cd6.

Total moment: 0.0 μB per formula unit
DFT formation energy: -0.25 eV per atom
N(E_F): 7.6 states/eV per cell

Lattice parameters (Å, degrees): 8.4914 8.4914 3.2849 90.00 90.00 120.00
Space group P6/mmm (No. 191)
Unique sites:
Ho: 0.0000 0.0000 0.0000
Sc: 0.3333 0.6667 0.0000
Cd: 0.0000 0.3363 0.5000

=====

# 11
Density functional theory data (PBE-GGA) for an optimized crystal structure of CsKH6Pt.

Uncorrected energy: -3.468 eV/atom
Total moment: 0.0 μB per formula unit
N(E_F): 0.0 states/eV per cell

Lattice parameters (Å, degrees): 5.9331 5.9331 5.5226 90.00 90.00 120.00
Space group P312 (No. 149)
Unique sites:
Cs: 0.0000 0.0000 0.0000
K: 0.3333 0.6667 0.5000
H: 0.4430 0.1140 0.6809
Pt: 0.6667 0.3333 0.5000

=====

# 12
Density functional theory data (PBE-GGA) for an optimized crystal structure of AcDyPbAu.

Total moment: 0.8 μB per formula unit
DFT formation energy: -0.55 eV per atom
N(E_F): 14.6 states/eV per cell

Lattice parameters (Å, degrees): 7.798 7.798 7.798 90.00 90.00 90.00
Space group F-43m (No. 216)
Unique sites:
Ac: 0.000 0.000 0.000
Dy: 0.000 0.000 0.500
Pb: 0.250 0.250 0.250
Au: 0.250 0.250 0.750

=====

Which of these has the highest total moment? KPuCl2F6